Version one
# NbIn3Pt

An optimized crystal structure of NbIn3Pt (PBE, Alexandria via LeMat-Bulk).

The volume is 26.70 A^3/atom. The total moment comes out at 3.37 μB/cell.

It has space group Pm-3m (No. 221), with a = 5.1108 Å, b = 5.1108 Å, c = 5.1108 Å, α = 90.00°, β = 90.00° and γ = 90.00°. The asymmetric unit holds Nb at (0.0000, 0.0000, 0.0000), In at (0.0000, 0.5000, 0.5000) and Pt at (0.5000, 0.5000, 0.5000).

***

Version two
# NbIn3Pt

An optimized crystal structure of NbIn3Pt (PBE, Alexandria via LeMat-Bulk).

The volume is 30.08 A^3/atom. The total moment comes out at 0.00 μB/cell.

It has space group Pm-3m (No. 221), with a = 5.3181 Å, b = 5.3181 Å, c = 5.3181 Å, α = 90.00°, β = 90.00° and γ = 90.00°. The asymmetric unit holds Nb at (0.0000, 0.0000, 0.0000), In at (0.0000, 0.0000, 0.5000) and Pt at (0.5000, 0.5000, 0.5000).

***

We find version one to be the most stable, with the next structure 495 meV/atom higher.

***

Version one
# RbNbIn2

An optimized crystal structure of RbNbIn2 (PBE, Alexandria via LeMat-Bulk).

The volume is 43.81 A^3/atom. The total moment comes out at 11.89 μB/cell.

It has space group I-42d (No. 122), with a = 6.0452 Å, b = 6.0452 Å, c = 19.1796 Å, α = 90.00°, β = 90.00° and γ = 90.00°. The asymmetric unit holds Rb at (0.0000, 0.0000, 0.0000), Nb at (0.0000, 0.0000, 0.5000) and In at (0.0011, 0.2500, 0.6250).

***

Version two
# RbNbIn2

An optimized crystal structure of RbNbIn2 (PBE, Alexandria via LeMat-Bulk).

The volume is 27.82 A^3/atom. The total moment comes out at 8.96 μB/cell.

It has space group Fm-3m (No. 225), with a = 7.6349 Å, b = 7.6349 Å, c = 7.6349 Å, α = 90.00°, β = 90.00° and γ = 90.00°. The asymmetric unit holds Rb at (0.0000, 0.0000, 0.0000), Nb at (0.0000, 0.0000, 0.5000) and In at (0.2500, 0.2500, 0.2500).

***

We find version two to be the most stable, with the next structure 26 meV/atom higher.

***

Version one
# Nb2InRh2

An optimized crystal structure of Nb2InRh2 (PBE, Alexandria via LeMat-Bulk).

The volume is 18.03 A^3/atom. The total moment comes out at 0.00 μB/cell.

It has space group P4/mbm (No. 127), with a = 7.8509 Å, b = 7.8509 Å, c = 2.9256 Å, α = 90.00°, β = 90.00° and γ = 90.00°. The asymmetric unit holds Nb at (0.1563, 0.3437, 0.0000), In at (0.0000, 0.0000, 0.0000) and Rh at (0.1340, 0.6340, 0.5000).

***

Version two
# Nb2InRh2

An optimized crystal structure of Nb2InRh2 (PBE, Alexandria via LeMat-Bulk).

The volume is 17.55 A^3/atom. The total moment comes out at 0.00 μB/cell.

It has space group P4/mbm (No. 127), with a = 7.6629 Å, b = 7.6629 Å, c = 2.9895 Å, α = 90.00°, β = 90.00° and γ = 90.00°. The asymmetric unit holds Nb at (0.1660, 0.3340, 0.0000), In at (0.0000, 0.0000, 0.5000) and Rh at (0.1279, 0.6279, 0.5000).

***

We find version two to be the most stable, with the next structure 175 meV/atom higher.

***

Version one
# NbInRu3

An optimized crystal structure of NbInRu3 (PBE, Alexandria via LeMat-Bulk).

The volume is 21.08 A^3/atom. The total moment comes out at 1.83 μB/cell.

It has space group Pm-3m (No. 221), with a = 4.7240 Å, b = 4.7240 Å, c = 4.7240 Å, α = 90.00°, β = 90.00° and γ = 90.00°. The asymmetric unit holds Nb at (0.0000, 0.0000, 0.0000), In at (0.5000, 0.5000, 0.5000) and Ru at (0.0000, 0.5000, 0.5000).

***

Version two
# NbInRu3

An optimized crystal structure of NbInRu3 (PBE, Alexandria via LeMat-Bulk).

The volume is 21.05 A^3/atom. The total moment comes out at 1.87 μB/cell.

It has space group Pm-3m (No. 221), with a = 4.7214 Å, b = 4.7214 Å, c = 4.7214 Å, α = 90.00°, β = 90.00° and γ = 90.00°. The asymmetric unit holds Nb at (0.0000, 0.0000, 0.0000), In at (0.5000, 0.5000, 0.5000) and Ru at (0.0000, 0.0000, 0.5000).

***

We find version two to be the most stable, with the next structure 651 meV/atom higher.

***

Version one
# NbIn3S

An optimized crystal structure of NbIn3S (PBE, Alexandria via LeMat-Bulk).

The volume is 32.95 A^3/atom. The total moment comes out at 3.33 μB/cell.

It has space group Pm-3m (No. 221), with a = 5.4822 Å, b = 5.4822 Å, c = 5.4822 Å, α = 90.00°, β = 90.00° and γ = 90.00°. The asymmetric unit holds Nb at (0.0000, 0.0000, 0.0000), In at (0.0000, 0.0000, 0.5000) and S at (0.5000, 0.5000, 0.5000).

***

Version two
# NbIn3S

An optimized crystal structure of NbIn3S (PBE, Alexandria via LeMat-Bulk).

The volume is 25.92 A^3/atom. The total moment comes out at 0.00 μB/cell.

It has space group Pm-3m (No. 221), with a = 5.0605 Å, b = 5.0605 Å, c = 5.0605 Å, α = 90.00°, β = 90.00° and γ = 90.00°. The asymmetric unit holds Nb at (0.0000, 0.0000, 0.0000), In at (0.0000, 0.5000, 0.5000) and S at (0.5000, 0.5000, 0.5000).

***

We find version one to be the most stable, with the next structure 47 meV/atom higher.

***

Version one
# Nb3InS

An optimized crystal structure of Nb3InS (PBE, Alexandria via LeMat-Bulk).

The volume is 18.86 A^3/atom. The total moment comes out at 0.00 μB/cell.

It has space group P-1 (No. 2), with a = 6.0416 Å, b = 6.0457 Å, c = 6.6816 Å, α = 65.46°, β = 65.57° and γ = 61.97°. The asymmetric unit holds Nb at (0.0861, 0.0838, 0.2332), Nb at (0.1020, 0.6041, 0.1647), Nb at (0.3960, 0.8994, 0.8348), In at (0.4142, 0.4162, 0.7560) and S at (0.1863, 0.1870, 0.5081).

***

Version two
# Nb3InS

An optimized crystal structure of Nb3InS (PBE, Alexandria via LeMat-Bulk).

The volume is 25.94 A^3/atom. The total moment comes out at 0.06 μB/cell.

It has space group Pm-3m (No. 221), with a = 5.0622 Å, b = 5.0622 Å, c = 5.0622 Å, α = 90.00°, β = 90.00° and γ = 90.00°. The asymmetric unit holds Nb at (0.0000, 0.0000, 0.5000), In at (0.0000, 0.0000, 0.0000) and S at (0.5000, 0.5000, 0.5000).

***

Version three
# Nb3InS

An optimized crystal structure of Nb3InS (PBE, Alexandria via LeMat-Bulk).

The volume is 19.73 A^3/atom. The total moment comes out at 0.00 μB/cell.

It has space group Pm-3m (No. 221), with a = 4.6208 Å, b = 4.6208 Å, c = 4.6208 Å, α = 90.00°, β = 90.00° and γ = 90.00°. The asymmetric unit holds Nb at (0.0000, 0.0000, 0.5000), In at (0.5000, 0.5000, 0.5000) and S at (0.0000, 0.0000, 0.0000).

***

We find version one to be the most stable, with the next structure 281 meV/atom higher.

***

Version one
# NbInSb3

An optimized crystal structure of NbInSb3 (PBE, Alexandria via LeMat-Bulk).

The volume is 32.13 A^3/atom. The total moment comes out at 0.07 μB/cell.

It has space group Pm-3m (No. 221), with a = 5.4363 Å, b = 5.4363 Å, c = 5.4363 Å, α = 90.00°, β = 90.00° and γ = 90.00°. The asymmetric unit holds Nb at (0.0000, 0.0000, 0.0000), In at (0.5000, 0.5000, 0.5000) and Sb at (0.0000, 0.5000, 0.5000).

***

Version two
# NbInSb3

An optimized crystal structure of NbInSb3 (PBE, Alexandria via LeMat-Bulk).

The volume is 31.67 A^3/atom. The total moment comes out at 0.00 μB/cell.

It has space group Pm-3m (No. 221), with a = 5.4101 Å, b = 5.4101 Å, c = 5.4101 Å, α = 90.00°, β = 90.00° and γ = 90.00°. The asymmetric unit holds Nb at (0.0000, 0.0000, 0.0000), In at (0.5000, 0.5000, 0.5000) and Sb at (0.0000, 0.0000, 0.5000).

***

We find version two to be the most stable, with the next structure 1182 meV/atom higher.

***

Version one
# Nb2InSb

An optimized crystal structure of Nb2InSb (PBE, Alexandria via LeMat-Bulk).

The volume is 19.87 A^3/atom. The total moment comes out at 0.00 μB/cell.

It has space group Fm-3m (No. 225), with a = 6.8256 Å, b = 6.8256 Å, c = 6.8256 Å, α = 90.00°, β = 90.00° and γ = 90.00°. The asymmetric unit holds Nb at (0.2500, 0.2500, 0.2500), In at (0.0000, 0.0000, 0.0000) and Sb at (0.0000, 0.0000, 0.5000).

***

Version two
# Nb2InSb

An optimized crystal structure of Nb2InSb (PBE, Alexandria via LeMat-Bulk).

The volume is 22.03 A^3/atom. The total moment comes out at 0.00 μB/cell.

It has space group I-42d (No. 122), with a = 4.1420 Å, b = 4.1420 Å, c = 20.5466 Å, α = 90.00°, β = 90.00° and γ = 90.00°. The asymmetric unit holds Nb at (0.2360, 0.2500, 0.1250), In at (0.0000, 0.0000, 0.0000) and Sb at (0.0000, 0.0000, 0.5000).

***

We find version one to be the most stable, with the next structure 211 meV/atom higher.

***

Version one
# Nb2InSb2

An optimized crystal structure of Nb2InSb2 (PBE, Alexandria via LeMat-Bulk).

The volume is 22.02 A^3/atom. The total moment comes out at 0.00 μB/cell.

It has space group P4/mbm (No. 127), with a = 8.1112 Å, b = 8.1112 Å, c = 3.3475 Å, α = 90.00°, β = 90.00° and γ = 90.00°. The asymmetric unit holds Nb at (0.1503, 0.3497, 0.0000), In at (0.0000, 0.0000, 0.5000) and Sb at (0.1424, 0.6424, 0.5000).

***

Version two
# Nb2InSb2

An optimized crystal structure of Nb2InSb2 (PBE, Alexandria via LeMat-Bulk).

The volume is 21.75 A^3/atom. The total moment comes out at 0.00 μB/cell.

It has space group P4/mbm (No. 127), with a = 7.6617 Å, b = 7.6617 Å, c = 3.7050 Å, α = 90.00°, β = 90.00° and γ = 90.00°. The asymmetric unit holds Nb at (0.1401, 0.3599, 0.0000), In at (0.0000, 0.0000, 0.0000) and Sb at (0.1527, 0.6527, 0.5000).

***

We find version two to be the most stable, with the next structure 248 meV/atom higher.

***

Version one
# Sc3NbIn

An optimized crystal structure of Sc3NbIn (PBE, Alexandria via LeMat-Bulk).

The volume is 26.45 A^3/atom. The total moment comes out at 0.00 μB/cell.

It has space group Pm-3m (No. 221), with a = 5.0949 Å, b = 5.0949 Å, c = 5.0949 Å, α = 90.00°, β = 90.00° and γ = 90.00°. The asymmetric unit holds Sc at (0.0000, 0.0000, 0.5000), Nb at (0.0000, 0.0000, 0.0000) and In at (0.5000, 0.5000, 0.5000).

***

Version two
# Sc3NbIn

An optimized crystal structure of Sc3NbIn (PBE, Alexandria via LeMat-Bulk).

The volume is 29.19 A^3/atom. The total moment comes out at 4.01 μB/cell.

It has space group Pm-3m (No. 221), with a = 5.2649 Å, b = 5.2649 Å, c = 5.2649 Å, α = 90.00°, β = 90.00° and γ = 90.00°. The asymmetric unit holds Sc at (0.0000, 0.0000, 0.5000), Nb at (0.5000, 0.5000, 0.5000) and In at (0.0000, 0.0000, 0.0000).

***

We find version one to be the most stable, with the next structure 485 meV/atom higher.

***

Version one
# NbIn3Si

An optimized crystal structure of NbIn3Si (PBE, Alexandria via LeMat-Bulk).

The volume is 31.15 A^3/atom. The total moment comes out at 0.00 μB/cell.

It has space group Pm-3m (No. 221), with a = 5.3805 Å, b = 5.3805 Å, c = 5.3805 Å, α = 90.00°, β = 90.00° and γ = 90.00°. The asymmetric unit holds Nb at (0.0000, 0.0000, 0.0000), In at (0.0000, 0.0000, 0.5000) and Si at (0.5000, 0.5000, 0.5000).

***

Version two
# NbIn3Si

An optimized crystal structure of NbIn3Si (PBE, Alexandria via LeMat-Bulk).

The volume is 26.99 A^3/atom. The total moment comes out at 3.19 μB/cell.

It has space group Pm-3m (No. 221), with a = 5.1295 Å, b = 5.1295 Å, c = 5.1295 Å, α = 90.00°, β = 90.00° and γ = 90.00°. The asymmetric unit holds Nb at (0.0000, 0.0000, 0.0000), In at (0.0000, 0.5000, 0.5000) and Si at (0.5000, 0.5000, 0.5000).

***

We find version one to be the most stable, with the next structure 42 meV/atom higher.

***

Version one
# Nb3InSi

An optimized crystal structure of Nb3InSi (PBE, Alexandria via LeMat-Bulk).

The volume is 24.84 A^3/atom. The total moment comes out at 1.69 μB/cell.

It has space group Pm-3m (No. 221), with a = 4.9892 Å, b = 4.9892 Å, c = 4.9892 Å, α = 90.00°, β = 90.00° and γ = 90.00°. The asymmetric unit holds Nb at (0.0000, 0.0000, 0.5000), In at (0.0000, 0.0000, 0.0000) and Si at (0.5000, 0.5000, 0.5000).

***

Version two
# Nb3InSi

An optimized crystal structure of Nb3InSi (PBE, Alexandria via LeMat-Bulk).

The volume is 20.84 A^3/atom. The total moment comes out at 1.44 μB/cell.

It has space group Pm-3m (No. 221), with a = 4.7054 Å, b = 4.7054 Å, c = 4.7054 Å, α = 90.00°, β = 90.00° and γ = 90.00°. The asymmetric unit holds Nb at (0.0000, 0.0000, 0.5000), In at (0.5000, 0.5000, 0.5000) and Si at (0.0000, 0.0000, 0.0000).

***

We find version two to be the most stable, with the next structure 1487 meV/atom higher.